{
  "formula": "Sc5Ga2Bi2",
  "functional": "PBE",
  "state": "optimized geometry",
  "lattice_angstrom": [[7.352, -3.770, 0.000], [7.352, 3.770, 0.000], [0.000, 0.000, 7.547]],
  "species": ["Sc", "Sc", "Sc", "Sc", "Sc", "Sc", "Sc", "Sc", "Sc", "Sc", "Ga", "Ga", "Ga", "Ga", "Bi", "Bi", "Bi", "Bi"],
  "fractional_positions": [[0.000, 0.000, 0.000], [0.044, 0.709, 0.668], [0.209, 0.544, 0.168], [0.291, 0.956, 0.668], [0.456, 0.791, 0.168], [0.500, 0.500, 0.500], [0.544, 0.209, 0.832], [0.709, 0.044, 0.332], [0.791, 0.456, 0.832], [0.956, 0.291, 0.332], [0.131, 0.869, 0.371], [0.369, 0.631, 0.871], [0.631, 0.369, 0.129], [0.869, 0.131, 0.629], [0.209, 0.209, 0.000], [0.291, 0.291, 0.500], [0.709, 0.709, 0.500], [0.791, 0.791, 0.000]],
  "dos_ef_per_ev_atom": 0.647,
  "delta_e_f_mev_per_atom": -657,
  "space_group": "Cmce, No. 64",
  "final_energy_ev_per_cell": -102.768
}